Entry 1:
Crystalline Sr2AgAu at its relaxed geometry, computed with PBE-GGA.

Properties
E_form = -0.542 eV per atom
magnetic moment = 0.000 μB/f.u.

Geometry as CIF:
```
data_Sr2AgAu
_chemical_formula_sum 'Sr4 Ag2 Au2'
_symmetry_space_group_name_H-M 'A m m 2'
_symmetry_Int_Tables_number 38
_symmetry_space_group_name_Hall 'A 2 -2'
_cell_length_a 4.698
_cell_length_b 4.453
_cell_length_c 11.886
_cell_angle_alpha 90.00
_cell_angle_beta 90.00
_cell_angle_gamma 90.00
loop_
_atom_site_label
_atom_site_type_symbol
_atom_site_fract_x
_atom_site_fract_y
_atom_site_fract_z
Sr1 Sr 0.000 0.000 0.000
Sr2 Sr 0.500 0.000 0.279
Ag1 Ag 0.000 0.000 0.712
Au1 Au 0.500 0.000 0.563
```



Entry 2:
Crystalline SrAgAu6 at its relaxed geometry, computed with PBE-GGA.

Properties
E_form = -0.154 eV per atom
magnetic moment = 0.000 μB/f.u.

Geometry as CIF:
```
data_SrAgAu6
_chemical_formula_sum 'Sr1 Ag1 Au6'
_symmetry_space_group_name_H-M 'P m -3'
_symmetry_Int_Tables_number 200
_symmetry_space_group_name_Hall '-P 2 2 3'
_cell_length_a 5.483
_cell_length_b 5.483
_cell_length_c 5.483
_cell_angle_alpha 90.00
_cell_angle_beta 90.00
_cell_angle_gamma 90.00
loop_
_atom_site_label
_atom_site_type_symbol
_atom_site_fract_x
_atom_site_fract_y
_atom_site_fract_z
Sr1 Sr 0.000 0.000 0.000
Ag1 Ag 0.500 0.500 0.500
Au1 Au 0.000 0.254 0.500
```



Entry 3:
Crystalline SrAg2Au9 at its relaxed geometry, computed with PBE-GGA.

Properties
E_form = -0.203 eV per atom
magnetic moment = 0.000 μB/f.u.

Geometry as CIF:
```
data_SrAg2Au9
_chemical_formula_sum 'Sr3 Ag6 Au27'
_symmetry_space_group_name_H-M 'R -3 m'
_symmetry_Int_Tables_number 166
_symmetry_space_group_name_Hall '-R 3 2"'
_cell_length_a 5.5734
_cell_length_b 5.5734
_cell_length_c 27.7388
_cell_angle_alpha 90.00
_cell_angle_beta 90.00
_cell_angle_gamma 120.00
loop_
_atom_site_label
_atom_site_type_symbol
_atom_site_fract_x
_atom_site_fract_y
_atom_site_fract_z
Sr1 Sr 0.0000 0.0000 0.0000
Ag1 Ag 0.0000 0.0000 0.1525
Au1 Au 0.0000 0.0000 0.3334
Au2 Au 0.0000 0.0000 0.5000
Au3 Au 0.0038 0.5019 0.9140
```



Entry 4:
Crystalline SrAg3Au8 at its relaxed geometry, computed with PBE-GGA.

Properties
E_form = -0.170 eV per atom
magnetic moment = 0.000 μB/f.u.

Geometry as CIF:
```
data_SrAg3Au8
_chemical_formula_sum 'Sr1 Ag3 Au8'
_symmetry_space_group_name_H-M 'P 3 m 1'
_symmetry_Int_Tables_number 156
_symmetry_space_group_name_Hall 'P 3 -2"'
_cell_length_a 5.5390
_cell_length_b 5.5390
_cell_length_c 9.3088
_cell_angle_alpha 90.00
_cell_angle_beta 90.00
_cell_angle_gamma 120.00
loop_
_atom_site_label
_atom_site_type_symbol
_atom_site_fract_x
_atom_site_fract_y
_atom_site_fract_z
Sr1 Sr 0.0000 0.0000 0.0000
Ag1 Ag 0.0000 0.0000 0.4012
Ag2 Ag 0.6667 0.3333 0.4734
Ag3 Ag 0.6667 0.3333 0.8164
Au1 Au 0.1644 0.3288 0.6830
Au2 Au 0.3333 0.6667 0.4362
Au3 Au 0.3333 0.6667 0.9371
Au4 Au 0.5030 0.0060 0.1919
```



Entry 5:
Crystalline Sr2AgAu at its relaxed geometry, computed with PBE-GGA.

Properties
E_form = -0.386 eV per atom
magnetic moment = 0.000 μB/f.u.

Geometry as CIF:
```
data_Sr2AgAu
_chemical_formula_sum 'Sr4 Ag2 Au2'
_symmetry_space_group_name_H-M 'I m m 2'
_symmetry_Int_Tables_number 44
_symmetry_space_group_name_Hall 'I 2 -2'
_cell_length_a 4.052
_cell_length_b 5.043
_cell_length_c 11.796
_cell_angle_alpha 90.00
_cell_angle_beta 90.00
_cell_angle_gamma 90.00
loop_
_atom_site_label
_atom_site_type_symbol
_atom_site_fract_x
_atom_site_fract_y
_atom_site_fract_z
Sr1 Sr 0.000 0.000 0.000
Sr2 Sr 0.000 0.500 0.218
Ag1 Ag 0.000 0.000 0.429
Au1 Au 0.000 0.500 0.750
```



Entry 6:
Crystalline Sr2AgAu at its relaxed geometry, computed with PBE-GGA.

Properties
E_form = -0.421 eV per atom
magnetic moment = 0.000 μB/f.u.

Geometry as CIF:
```
data_Sr2AgAu
_chemical_formula_sum 'Sr2 Ag1 Au1'
_symmetry_space_group_name_H-M 'P 4/m m m'
_symmetry_Int_Tables_number 123
_symmetry_space_group_name_Hall '-P 4 2'
_cell_length_a 4.574
_cell_length_b 4.574
_cell_length_c 6.476
_cell_angle_alpha 90.00
_cell_angle_beta 90.00
_cell_angle_gamma 90.00
loop_
_atom_site_label
_atom_site_type_symbol
_atom_site_fract_x
_atom_site_fract_y
_atom_site_fract_z
Sr1 Sr 0.000 0.000 0.000
Sr2 Sr 0.500 0.500 0.500
Ag1 Ag 0.000 0.000 0.500
Au1 Au 0.500 0.500 0.000
```



Entry 7:
Crystalline SrAg2Au at its relaxed geometry, computed with PBE-GGA.

Properties
E_form = -0.297 eV per atom
magnetic moment = 0.000 μB/f.u.

Geometry as CIF:
```
data_SrAg2Au
_chemical_formula_sum 'Sr2 Ag4 Au2'
_symmetry_space_group_name_H-M 'C 1 2/m 1'
_symmetry_Int_Tables_number 12
_symmetry_space_group_name_Hall '-C 2y'
_cell_length_a 8.292
_cell_length_b 4.767
_cell_length_c 5.765
_cell_angle_alpha 90.00
_cell_angle_beta 118.10
_cell_angle_gamma 90.00
loop_
_atom_site_label
_atom_site_type_symbol
_atom_site_fract_x
_atom_site_fract_y
_atom_site_fract_z
Sr1 Sr 0.000 0.000 0.000
Ag1 Ag 0.207 0.000 0.622
Au1 Au 0.000 0.500 0.500
```



Entry 8:
Crystalline SrAg4Au2 at its relaxed geometry, computed with PBE-GGA.

Properties
E_form = 0.142 eV per atom
magnetic moment = 0.000 μB/f.u.

Geometry as CIF:
```
data_SrAg4Au2
_chemical_formula_sum 'Sr2 Ag8 Au4'
_symmetry_space_group_name_H-M 'I 4/m m m'
_symmetry_Int_Tables_number 139
_symmetry_space_group_name_Hall '-I 4 2'
_cell_length_a 8.445
_cell_length_b 8.445
_cell_length_c 5.642
_cell_angle_alpha 90.00
_cell_angle_beta 90.00
_cell_angle_gamma 90.00
loop_
_atom_site_label
_atom_site_type_symbol
_atom_site_fract_x
_atom_site_fract_y
_atom_site_fract_z
Sr1 Sr 0.000 0.000 0.000
Ag1 Ag 0.000 0.225 0.500
Au1 Au 0.000 0.500 0.250
```



Entry 9:
Crystalline Sr3AgAu at its relaxed geometry, computed with PBE-GGA.

Properties
E_form = -0.225 eV per atom
magnetic moment = 0.000 μB/f.u.

Geometry as CIF:
```
data_Sr3AgAu
_chemical_formula_sum 'Sr3 Ag1 Au1'
_symmetry_space_group_name_H-M 'P m -3 m'
_symmetry_Int_Tables_number 221
_symmetry_space_group_name_Hall '-P 4 2 3'
_cell_length_a 5.992
_cell_length_b 5.992
_cell_length_c 5.992
_cell_angle_alpha 90.00
_cell_angle_beta 90.00
_cell_angle_gamma 90.00
loop_
_atom_site_label
_atom_site_type_symbol
_atom_site_fract_x
_atom_site_fract_y
_atom_site_fract_z
Sr1 Sr 0.000 0.000 0.500
Ag1 Ag 0.500 0.500 0.500
Au1 Au 0.000 0.000 0.000
```



Entry 10:
Crystalline Sr2AgAu at its relaxed geometry, computed with PBE-GGA.

Properties
E_form = -0.430 eV per atom
magnetic moment = 0.000 μB/f.u.

Geometry as CIF:
```
data_Sr2AgAu
_chemical_formula_sum 'Sr6 Ag3 Au3'
_symmetry_space_group_name_H-M 'R 3 m'
_symmetry_Int_Tables_number 160
_symmetry_space_group_name_Hall 'R 3 -2"'
_cell_length_a 4.5365
_cell_length_b 4.5365
_cell_length_c 23.1499
_cell_angle_alpha 90.00
_cell_angle_beta 90.00
_cell_angle_gamma 120.00
loop_
_atom_site_label
_atom_site_type_symbol
_atom_site_fract_x
_atom_site_fract_y
_atom_site_fract_z
Sr1 Sr 0.0000 0.0000 0.0000
Sr2 Sr 0.0000 0.0000 0.1813
Ag1 Ag 0.0000 0.0000 0.7549
Au1 Au 0.0000 0.0000 0.5927
```



Entry 11:
Crystalline Sr3Ag3Au8 at its relaxed geometry, computed with PBE-GGA.

Properties
E_form = -0.473 eV per atom
magnetic moment = 0.000 μB/f.u.

Geometry as CIF:
```
data_Sr3Ag3Au8
_chemical_formula_sum 'Sr6 Ag6 Au16'
_symmetry_space_group_name_H-M 'I m m m'
_symmetry_Int_Tables_number 71
_symmetry_space_group_name_Hall '-I 2 2'
_cell_length_a 4.705
_cell_length_b 9.824
_cell_length_c 13.990
_cell_angle_alpha 90.00
_cell_angle_beta 90.00
_cell_angle_gamma 90.00
loop_
_atom_site_label
_atom_site_type_symbol
_atom_site_fract_x
_atom_site_fract_y
_atom_site_fract_z
Sr1 Sr 0.000 0.000 0.000
Sr2 Sr 0.000 0.000 0.294
Ag1 Ag 0.000 0.181 0.500
Ag2 Ag 0.000 0.500 0.000
Au1 Au 0.000 0.282 0.127
Au2 Au 0.000 0.360 0.336
```



Entry 12:
Crystalline Sr2Ag3Au at its relaxed geometry, computed with PBE-GGA.

Properties
E_form = -0.407 eV per atom
magnetic moment = 0.000 μB/f.u.

Geometry as CIF:
```
data_Sr2Ag3Au
_chemical_formula_sum 'Sr16 Ag24 Au8'
_symmetry_space_group_name_H-M 'F m m m'
_symmetry_Int_Tables_number 69
_symmetry_space_group_name_Hall '-F 2 2'
_cell_length_a 7.956
_cell_length_b 9.691
_cell_length_c 16.705
_cell_angle_alpha 90.00
_cell_angle_beta 90.00
_cell_angle_gamma 90.00
loop_
_atom_site_label
_atom_site_type_symbol
_atom_site_fract_x
_atom_site_fract_y
_atom_site_fract_z
Sr1 Sr 0.247 0.000 0.000
Sr2 Sr 0.250 0.250 0.250
Ag1 Ag 0.000 0.000 0.334
Ag2 Ag 0.000 0.249 0.417
Au1 Au 0.000 0.000 0.166
```



Question: Which value of E_form does entry 3 give?
Answer: -0.203 eV per atom



Question: Which value of magnetic moment does entry 5 give?
Answer: 0.000 μB/f.u.